VASP calculation (GGA-PBE) on an optimized crystal structure of Li2ReSe.

Output
- SG = Immm
- crystal system = orthorhombic

The structure in CIF format:
```
data_Li2ReSe
_chemical_formula_sum 'Li4 Re2 Se2'
_symmetry_space_group_name_H-M 'P 1'
_symmetry_Int_Tables_number 1
_cell_length_a 3.034
_cell_length_b 4.235
_cell_length_c 9.078
_cell_angle_alpha 90.00
_cell_angle_beta 90.00
_cell_angle_gamma 90.00
loop_
_symmetry_equiv_pos_as_xyz
'x,y,z'
loop_
_atom_site_label
_atom_site_type_symbol
_atom_site_fract_x
_atom_site_fract_y
_atom_site_fract_z
_atom_site_occupancy
Li1 Li 0.000 0.000 0.230 1
Li2 Li 0.000 0.000 0.770 1
Li3 Li 0.500 0.500 0.270 1
Li4 Li 0.500 0.500 0.730 1
Re1 Re 0.000 0.500 0.000 1
Re2 Re 0.500 0.000 0.500 1
Se1 Se 0.000 0.500 0.500 1
Se2 Se 0.500 0.000 0.000 1
```

VASP calculation (GGA-PBE) on an optimized crystal structure of Li2ReSe.

Output
- SG = Cm
- crystal system = monoclinic

The structure in CIF format:
```
data_Li2ReSe
_chemical_formula_sum 'Li4 Re2 Se2'
_symmetry_space_group_name_H-M 'P 1'
_symmetry_Int_Tables_number 1
_cell_length_a 8.828
_cell_length_b 3.022
_cell_length_c 4.912
_cell_angle_alpha 90.00
_cell_angle_beta 112.91
_cell_angle_gamma 90.00
loop_
_symmetry_equiv_pos_as_xyz
'x,y,z'
loop_
_atom_site_label
_atom_site_type_symbol
_atom_site_fract_x
_atom_site_fract_y
_atom_site_fract_z
_atom_site_occupancy
Li1 Li 0.000 0.000 0.000 1
Li2 Li 0.235 0.000 0.853 1
Li3 Li 0.500 0.500 0.000 1
Li4 Li 0.735 0.500 0.853 1
Re1 Re 0.286 0.500 0.395 1
Re2 Re 0.786 0.000 0.395 1
Se1 Se 0.009 0.500 0.430 1
Se2 Se 0.509 0.000 0.430 1
```

VASP calculation (GGA-PBE) on an optimized crystal structure of Li2ReSe.

Output
- SG = P4mm
- crystal system = tetragonal

The structure in CIF format:
```
data_Li2ReSe
_chemical_formula_sum 'Li2 Re1 Se1'
_symmetry_space_group_name_H-M 'P 1'
_symmetry_Int_Tables_number 1
_cell_length_a 3.215
_cell_length_b 3.215
_cell_length_c 5.716
_cell_angle_alpha 90.00
_cell_angle_beta 90.00
_cell_angle_gamma 90.00
loop_
_symmetry_equiv_pos_as_xyz
'x,y,z'
loop_
_atom_site_label
_atom_site_type_symbol
_atom_site_fract_x
_atom_site_fract_y
_atom_site_fract_z
_atom_site_occupancy
Li1 Li 0.000 0.000 0.000 1
Li2 Li 0.500 0.500 0.247 1
Re1 Re 0.000 0.000 0.511 1
Se1 Se 0.500 0.500 0.718 1
```

VASP calculation (GGA-PBE) on an optimized crystal structure of LiRe4Se8.

Output
- SG = C2/m
- crystal system = monoclinic

The structure in CIF format:
```
data_LiRe4Se8
_chemical_formula_sum 'Li1 Re4 Se8'
_symmetry_space_group_name_H-M 'P 1'
_symmetry_Int_Tables_number 1
_cell_length_a 7.245
_cell_length_b 7.245
_cell_length_c 8.213
_cell_angle_alpha 120.82
_cell_angle_beta 120.82
_cell_angle_gamma 54.17
loop_
_symmetry_equiv_pos_as_xyz
'x,y,z'
loop_
_atom_site_label
_atom_site_type_symbol
_atom_site_fract_x
_atom_site_fract_y
_atom_site_fract_z
_atom_site_occupancy
Li1 Li 0.000 0.000 0.000 1
Re1 Re 0.000 0.000 0.500 1
Re2 Re 0.000 0.500 0.500 1
Re3 Re 0.500 0.000 0.500 1
Re4 Re 0.500 0.500 0.500 1
Se1 Se 0.241 0.241 0.729 1
Se2 Se 0.242 0.742 0.729 1
Se3 Se 0.258 0.758 0.271 1
Se4 Se 0.259 0.259 0.271 1
Se5 Se 0.741 0.741 0.729 1
Se6 Se 0.742 0.242 0.729 1
Se7 Se 0.758 0.258 0.271 1
Se8 Se 0.759 0.759 0.271 1
```

Number 1: N(E_F) 0.73 states/eV/atom, raw formation energy 16 kJ/mol of atoms, VASP energy -4.777 eV/atom. Number 2: N(E_F) 0.46 states/eV/atom, raw formation energy 0 kJ/mol of atoms, VASP energy -4.939 eV/atom. Number 3: N(E_F) 0.43 states/eV/atom, raw formation energy 1 kJ/mol of atoms, VASP energy -4.926 eV/atom. Number 4: N(E_F) 0.66 states/eV/atom, raw formation energy -7 kJ/mol of atoms, VASP energy -6.192 eV/atom.